Record 1
Density functional theory data (PBE) for a relaxed structure of BeZnOs3.

## Properties
Energy of formation from the pure elements   1152 kJ/mol of formula units
M_tot   2.01 μB/f.u.
Calculated total energy   -5.351 eV/atom

Geometry as CIF:
```
data_BeZnOs3
_symmetry_space_group_name_H-M 'P m -3 m'
_symmetry_Int_Tables_number 221
_symmetry_space_group_name_Hall '-P 4 2 3'
_cell_length_a 4.460
_cell_length_b 4.460
_cell_length_c 4.460
_cell_angle_alpha 90.00
_cell_angle_beta 90.00
_cell_angle_gamma 90.00
loop_
_atom_site_label
_atom_site_fract_x
_atom_site_fract_y
_atom_site_fract_z
Be1 0.000 0.000 0.000
Zn1 0.500 0.500 0.500
Os1 0.000 0.500 0.500
```

=====

Record 2
Density functional theory data (PBE) for a relaxed structure of EuTm2Zn.

## Properties
Energy of formation from the pure elements   42 kJ/mol of formula units
M_tot   7.69 μB/f.u.
Calculated total energy   -5.013 eV/atom

Geometry as CIF:
```
data_EuTm2Zn
_symmetry_space_group_name_H-M 'R -3 m'
_symmetry_Int_Tables_number 166
_symmetry_space_group_name_Hall '-R 3 2"'
_cell_length_a 3.5131
_cell_length_b 3.5131
_cell_length_c 33.6493
_cell_angle_alpha 90.00
_cell_angle_beta 90.00
_cell_angle_gamma 120.00
loop_
_atom_site_label
_atom_site_fract_x
_atom_site_fract_y
_atom_site_fract_z
Eu1 0.0000 0.0000 0.0000
Tm1 0.0000 0.0000 0.1026
Zn1 0.0000 0.0000 0.5000
```

=====

Record 3
Density functional theory data (PBE) for a relaxed structure of CaNb.

## Properties
Energy of formation from the pure elements   96 kJ/mol of formula units
M_tot   0.00 μB/f.u.
Calculated total energy   -5.537 eV/atom

Geometry as CIF:
```
data_CaNb
_symmetry_space_group_name_H-M 'P 4/m'
_symmetry_Int_Tables_number 83
_cell_length_a 11.016
_cell_length_b 11.016
_cell_length_c 4.495
_cell_angle_alpha 90.00
_cell_angle_beta 90.00
_cell_angle_gamma 90.00
loop_
_symmetry_equiv_pos_as_xyz
'x,y,z'
'-x,-y,-z'
'-y,x,z'
'y,-x,-z'
'-x,-y,z'
'x,y,-z'
'y,-x,z'
'-y,x,-z'
loop_
_atom_site_label
_atom_site_fract_x
_atom_site_fract_y
_atom_site_fract_z
Ca1 0.114 0.385 0.000
Ca2 0.148 0.720 0.500
Nb1 0.325 0.597 0.000
Nb2 0.326 0.454 0.500
```

=====

Record 4
Density functional theory data (PBE) for a relaxed structure of Cu2ReP.

## Properties
Energy of formation from the pure elements   95 kJ/mol of formula units
M_tot   0.00 μB/f.u.
Calculated total energy   -6.266 eV/atom

Geometry as CIF:
```
data_Cu2ReP
_symmetry_space_group_name_H-M 'P 1 2/m 1'
_symmetry_Int_Tables_number 10
_cell_length_a 2.695
_cell_length_b 4.267
_cell_length_c 4.722
_cell_angle_alpha 90.00
_cell_angle_beta 106.03
_cell_angle_gamma 90.00
loop_
_symmetry_equiv_pos_as_xyz
'x,y,z'
'-x,-y,-z'
'-x,y,-z'
'x,-y,z'
loop_
_atom_site_label
_atom_site_fract_x
_atom_site_fract_y
_atom_site_fract_z
Cu1 0.114 0.000 0.261
Re1 0.500 0.500 0.000
P1 0.000 0.500 0.500
```

=====

Record 5
Density functional theory data (PBE) for a relaxed structure of Tl2Ga2Te.

## Properties
M_tot   0.00 μB/f.u.
Calculated total energy   -2.685 eV/atom
Formation energy from raw total energies   0.10 eV per atom

Geometry as CIF:
```
data_Tl2Ga2Te
_symmetry_space_group_name_H-M 'I 4/m m m'
_symmetry_Int_Tables_number 139
_symmetry_space_group_name_Hall '-I 4 2'
_cell_length_a 4.614
_cell_length_b 4.614
_cell_length_c 13.283
_cell_angle_alpha 90.00
_cell_angle_beta 90.00
_cell_angle_gamma 90.00
loop_
_atom_site_label
_atom_site_fract_x
_atom_site_fract_y
_atom_site_fract_z
Tl1 0.000 0.500 0.250
Ga1 0.000 0.000 0.093
Te1 0.000 0.000 0.500
```

=====

Record 6
Density functional theory data (PBE) for a relaxed structure of Pm3Nd3Sm5.

## Properties
Energy of formation from the pure elements   778 kJ/mol of formula units
M_tot   0.62 μB/f.u.
Calculated total energy   -4.008 eV/atom

Geometry as CIF:
```
data_Pm3Nd3Sm5
_symmetry_space_group_name_H-M 'P -6 2 m'
_symmetry_Int_Tables_number 189
_symmetry_space_group_name_Hall 'P -6 -2'
_cell_length_a 9.8043
_cell_length_b 9.8043
_cell_length_c 5.5412
_cell_angle_alpha 90.00
_cell_angle_beta 90.00
_cell_angle_gamma 120.00
loop_
_atom_site_label
_atom_site_fract_x
_atom_site_fract_y
_atom_site_fract_z
Pm1 0.0000 0.5726 0.0000
Nd1 0.0000 0.3641 0.5000
Sm1 0.0000 0.7317 0.5000
Sm2 0.3333 0.6667 0.5000
```

=====

Record 7
Density functional theory data (PBE) for a relaxed structure of KYZr.

## Properties
Energy of formation from the pure elements   111 kJ/mol of formula units
M_tot   0.00 μB/f.u.
Calculated total energy   -4.985 eV/atom

Geometry as CIF:
```
data_KYZr
_symmetry_space_group_name_H-M 'P 1 21/m 1'
_symmetry_Int_Tables_number 11
_cell_length_a 6.375
_cell_length_b 3.420
_cell_length_c 10.375
_cell_angle_alpha 90.00
_cell_angle_beta 99.71
_cell_angle_gamma 90.00
loop_
_symmetry_equiv_pos_as_xyz
'x,y,z'
'-x,-y,-z'
'-x,y+1/2,-z'
'x,-y+1/2,z'
loop_
_atom_site_label
_atom_site_fract_x
_atom_site_fract_y
_atom_site_fract_z
K1 0.228 0.250 0.413
Y1 0.338 0.250 0.864
Zr1 0.153 0.750 0.087
```

=====

Record 8
Density functional theory data (PBE) for a relaxed structure of Li3In2Hg8.

## Properties
Energy of formation from the pure elements   -188 kJ/mol of formula units
M_tot   0.00 μB/f.u.
Calculated total energy   -1.198 eV/atom

Geometry as CIF:
```
data_Li3In2Hg8
_symmetry_space_group_name_H-M 'P -1'
_symmetry_Int_Tables_number 2
_cell_length_a 6.478
_cell_length_b 6.775
_cell_length_c 8.359
_cell_angle_alpha 113.62
_cell_angle_beta 110.95
_cell_angle_gamma 91.11
loop_
_symmetry_equiv_pos_as_xyz
'x,y,z'
'-x,-y,-z'
loop_
_atom_site_label
_atom_site_fract_x
_atom_site_fract_y
_atom_site_fract_z
Li1 0.000 0.000 0.000
Li2 0.255 0.757 0.511
In1 0.247 0.243 0.482
Hg1 0.134 0.624 0.785
Hg2 0.137 0.162 0.784
Hg3 0.374 0.364 0.204
Hg4 0.374 0.844 0.206
```

=====

Record 9
Density functional theory data (PBE) for a relaxed structure of Zr2Sc3Ni2.

## Properties
Energy of formation from the pure elements   -187 kJ/mol of formula units
M_tot   0.00 μB/f.u.
Calculated total energy   -7.085 eV/atom

Geometry as CIF:
```
data_Zr2Sc3Ni2
_symmetry_space_group_name_H-M 'C 1 2/m 1'
_symmetry_Int_Tables_number 12
_cell_length_a 11.312
_cell_length_b 3.258
_cell_length_c 8.364
_cell_angle_alpha 90.00
_cell_angle_beta 116.60
_cell_angle_gamma 90.00
loop_
_symmetry_equiv_pos_as_xyz
'x,y,z'
'-x,-y,-z'
'-x,y,-z'
'x,-y,z'
'x+1/2,y+1/2,z'
'-x+1/2,-y+1/2,-z'
'-x+1/2,y+1/2,-z'
'x+1/2,-y+1/2,z'
loop_
_atom_site_label
_atom_site_fract_x
_atom_site_fract_y
_atom_site_fract_z
Zr1 0.162 0.000 0.322
Sc1 0.000 0.500 0.500
Sc2 0.112 0.500 0.938
Ni1 0.172 0.000 0.736
```

=====

Record 10
Density functional theory data (PBE) for a relaxed structure of K2AsPt.

## Properties
Energy of formation from the pure elements   -143 kJ/mol of formula units
M_tot   0.00 μB/f.u.
Calculated total energy   -3.592 eV/atom

Geometry as CIF:
```
data_K2AsPt
_symmetry_space_group_name_H-M 'I -4 2 d'
_symmetry_Int_Tables_number 122
_symmetry_space_group_name_Hall 'I -4 2bw'
_cell_length_a 12.596
_cell_length_b 12.596
_cell_length_c 4.625
_cell_angle_alpha 90.00
_cell_angle_beta 90.00
_cell_angle_gamma 90.00
loop_
_atom_site_label
_atom_site_fract_x
_atom_site_fract_y
_atom_site_fract_z
K1 0.003 0.250 0.125
As1 0.000 0.000 0.500
Pt1 0.000 0.000 0.000
```

=====

Record 11
Density functional theory data (PBE) for a relaxed structure of TcSbI2O.

## Properties
M_tot   0.00 μB/f.u.
Calculated total energy   -4.567 eV/atom
Formation energy from raw total energies   -0.06 eV per atom

Geometry as CIF:
```
data_TcSbI2O
_symmetry_space_group_name_H-M 'P 4/m m m'
_symmetry_Int_Tables_number 123
_symmetry_space_group_name_Hall '-P 4 2'
_cell_length_a 5.688
_cell_length_b 5.688
_cell_length_c 3.755
_cell_angle_alpha 90.00
_cell_angle_beta 90.00
_cell_angle_gamma 90.00
loop_
_atom_site_label
_atom_site_fract_x
_atom_site_fract_y
_atom_site_fract_z
Tc1 0.000 0.000 0.000
Sb1 0.500 0.500 0.500
I1 0.000 0.500 0.000
O1 0.000 0.000 0.500
```

=====

Record 12
Density functional theory data (PBE) for a relaxed structure of Ca3ErBi3.

## Properties
Energy of formation from the pure elements   -460 kJ/mol of formula units
M_tot   0.00 μB/f.u.
Calculated total energy   -3.854 eV/atom

Geometry as CIF:
```
data_Ca3ErBi3
_symmetry_space_group_name_H-M 'C 1 2/m 1'
_symmetry_Int_Tables_number 12
_cell_length_a 9.190
_cell_length_b 14.058
_cell_length_c 8.154
_cell_angle_alpha 90.00
_cell_angle_beta 96.38
_cell_angle_gamma 90.00
loop_
_symmetry_equiv_pos_as_xyz
'x,y,z'
'-x,-y,-z'
'-x,y,-z'
'x,-y,z'
'x+1/2,y+1/2,z'
'-x+1/2,-y+1/2,-z'
'-x+1/2,y+1/2,-z'
'x+1/2,-y+1/2,z'
loop_
_atom_site_label
_atom_site_fract_x
_atom_site_fract_y
_atom_site_fract_z
Ca1 0.000 0.161 0.000
Ca2 0.000 0.223 0.500
Ca3 0.096 0.500 0.844
Er1 0.203 0.000 0.642
Bi1 0.105 0.000 0.278
Bi2 0.168 0.326 0.207
```